1.
The following is a PBE-GGA calculation of an optimized crystal structure of Ho5Fe2I2, from the Alexandria database.

Raw total energy = -5.138 eV per atom
Calculated volume = 26.8 Å³/atom
Fermi-level density of states = 15.1 states/eV per cell
Magnetization = 0.14 μB/atom

a b c (Å): 7.5743 7.5694 9.2191
angles (deg): 90.00 65.75 90.00
Site moments in Bohr magnetons follow the coordinates.
Sites, in units of the cell vectors:
1 Ho 0.2309 0.1633 0.2109  -0.18
2 Ho 0.7309 0.3367 0.2109  -0.18
3 Ho 0.2691 0.6633 0.7891  -0.18
4 Ho 0.0581 0.6633 0.2109  -0.18
5 Fe 0.8799 0.6185 0.0000  1.30
6 Fe 0.1201 0.3815 0.0000  1.30
7 Ho 0.4419 0.1633 0.7891  -0.18
8 I 0.7173 0.5000 0.5654  -0.01
9 Fe 0.3799 0.8815 0.0000  1.30
10 I 0.2173 0.0000 0.5654  -0.01
11 Ho 0.5000 0.5000 0.0000  -0.37
12 I 0.7827 0.0000 0.4346  -0.01
13 Fe 0.6201 0.1185 0.0000  1.30
14 Ho 0.5581 0.8367 0.2109  -0.18
15 Ho 0.9419 0.3367 0.7891  -0.18
16 Ho 0.7691 0.8367 0.7891  -0.18
17 Ho 0.0000 0.0000 0.0000  -0.37
18 I 0.2827 0.5000 0.4346  -0.01



2.
The following is a PBE-GGA calculation of an optimized crystal structure of Ho4FeI5, from the Alexandria database.

Raw total energy = -4.391 eV per atom
Calculated volume = 33.9 Å³/atom
Fermi-level density of states = 6.2 states/eV per cell
Magnetization = 0.00 μB/atom

a b c (Å): 4.0364 8.9717 9.8299
angles (deg): 102.69 101.85 90.00
Sites, in units of the cell vectors:
1 I 0.5000 0.5000 0.0000
2 Ho 0.0005 0.7969 0.0011
3 Ho 0.9995 0.2031 0.9989
4 I 0.8268 0.1667 0.6537
5 I 0.1732 0.8333 0.3463
6 Ho 0.6327 0.0677 0.2653
7 I 0.8333 0.6627 0.6667
8 Fe 0.5000 0.0000 0.0000
9 Ho 0.3673 0.9323 0.7347
10 I 0.1667 0.3373 0.3333



3.
The following is a PBE-GGA calculation of an optimized crystal structure of HoFe2I8, from the Alexandria database.

Raw total energy = -3.660 eV per atom
Calculated volume = 51.9 Å³/atom
Magnetization = 0.81 μB/atom

a b c (Å): 7.8586 7.8586 10.1960
angles (deg): 102.89 102.89 103.69
Site moments in Bohr magnetons follow the coordinates.
Sites, in units of the cell vectors:
1 I 0.2246 0.8829 0.7999  0.15
2 I 0.2387 0.2387 0.5525  0.22
3 I 0.1171 0.7754 0.2001  0.15
4 I 0.7613 0.7613 0.4475  0.22
5 I 0.6855 0.6855 0.8291  0.03
6 Fe 0.9788 0.9788 0.3548  3.40
7 Ho 0.0000 0.0000 0.0000  0.02
8 I 0.7754 0.1171 0.2001  0.15
9 I 0.8829 0.2246 0.7999  0.15
10 Fe 0.0212 0.0212 0.6452  3.40
11 I 0.3145 0.3145 0.1709  0.03



4.
The following is a PBE-GGA calculation of an optimized crystal structure of Ho7FeI12, from the Alexandria database.

Raw total energy = -4.113 eV per atom
Calculated volume = 38.3 Å³/atom
Fermi-level density of states = 10.0 states/eV per cell
Magnetization = 0.05 μB/atom

a b c (Å): 9.7187 9.7187 9.7187
angles (deg): 106.95 106.95 106.95
Site moments in Bohr magnetons follow the coordinates.
Sites, in units of the cell vectors:
1 I 0.1146 0.3393 0.0375  0.01
2 Ho 0.0000 0.0000 0.0000  -0.01
3 Ho 0.2135 0.4790 0.4087  0.13
4 I 0.5715 0.7241 0.1785  0.01
5 I 0.3393 0.0375 0.1146  0.01
6 Ho 0.5913 0.7865 0.5210  0.13
7 Ho 0.4790 0.4087 0.2135  0.13
8 I 0.0375 0.1146 0.3393  0.01
9 I 0.8854 0.6607 0.9625  0.01
10 I 0.2759 0.8215 0.4285  0.01
11 Fe 0.5000 0.5000 0.5000  -0.11
12 I 0.8215 0.4285 0.2759  0.01
13 I 0.9625 0.8854 0.6607  0.01
14 Ho 0.4087 0.2135 0.4790  0.13
15 I 0.4285 0.2759 0.8215  0.01
16 I 0.1785 0.5715 0.7241  0.01
17 Ho 0.5210 0.5913 0.7865  0.13
18 I 0.7241 0.1785 0.5715  0.01
19 Ho 0.7865 0.5210 0.5913  0.13
20 I 0.6607 0.9625 0.8854  0.01



5.
The following is a PBE-GGA calculation of an optimized crystal structure of KHoFe2I8, from the Alexandria database.

Raw total energy = -3.619 eV per atom
Calculated volume = 44.6 Å³/atom
Fermi-level density of states = 12.5 states/eV per cell
Magnetization = 0.67 μB/atom

a b c (Å): 7.4343 7.4343 10.3722
angles (deg): 87.32 87.32 69.19
Site moments in Bohr magnetons follow the coordinates.
Sites, in units of the cell vectors:
1 I 0.2893 0.2893 0.5601  0.11
2 Fe 0.6301 0.6301 0.2191  3.28
3 I 0.7107 0.7107 0.4399  0.11
4 I 0.2464 0.2464 0.9967  0.06
5 Ho 0.0000 0.0000 0.0000  0.06
6 I 0.7415 0.2442 0.2118  0.05
7 I 0.7536 0.7536 0.0033  0.06
8 Fe 0.3699 0.3699 0.7809  3.28
9 I 0.2585 0.7558 0.7882  0.05
10 I 0.2442 0.7415 0.2118  0.05
11 I 0.7558 0.2585 0.7882  0.05
12 K 0.0000 0.0000 0.5000  0.00



6.
The following is a PBE-GGA calculation of an optimized crystal structure of HoThFeI, from the Alexandria database.

Raw total energy = -5.937 eV per atom
Calculated volume = 27.6 Å³/atom
Fermi-level density of states = 1.6 states/eV per cell
Magnetization = 0.00 μB/atom

a b c (Å): 3.9874 3.9799 8.3324
angles (deg): 90.15 103.62 119.85
Sites, in units of the cell vectors:
1 I 0.9773 0.3862 0.3765
2 Fe 0.3043 0.5531 0.8794
3 Th 0.0855 0.9374 0.0314
4 Ho 0.5109 0.1541 0.6823



7.
The following is a PBE-GGA calculation of an optimized crystal structure of Ho3InFe3, from the Alexandria database.

Raw total energy = -6.075 eV per atom
Calculated volume = 22.1 Å³/atom
Fermi-level density of states = 12.7 states/eV per cell
Magnetization = 0.73 μB/atom

a b c (Å): 3.9509 9.5170 9.5170
angles (deg): 120.00 90.00 90.00
Site moments in Bohr magnetons follow the coordinates.
Sites, in units of the cell vectors:
1 Fe 0.7500 0.8449 0.8638  1.85
2 Ho 0.7500 0.9328 0.6136  -0.14
3 Ho 0.7500 0.3864 0.3192  -0.14
4 Fe 0.2500 0.8638 0.0189  1.85
5 Ho 0.2500 0.6136 0.6808  -0.14
6 Ho 0.2500 0.0672 0.3864  -0.14
7 Fe 0.7500 0.1362 0.9811  1.85
8 In 0.7500 0.3333 0.6667  0.02
9 Fe 0.7500 0.0189 0.1551  1.85
10 Ho 0.7500 0.6808 0.0672  -0.14
11 Fe 0.2500 0.1551 0.1362  1.85
12 In 0.2500 0.6667 0.3333  0.02
13 Fe 0.2500 0.9811 0.8449  1.85
14 Ho 0.2500 0.3192 0.9328  -0.14



8.
The following is a PBE-GGA calculation of an optimized crystal structure of Ho2InFe, from the Alexandria database.

Raw total energy = -4.872 eV per atom
Calculated volume = 27.0 Å³/atom
Fermi-level density of states = 3.2 states/eV per cell
Magnetization = 0.24 μB/atom

a b c (Å): 3.5236 3.5236 10.2421
angles (deg): 80.09 80.09 60.00
Site moments in Bohr magnetons follow the coordinates.
Sites, in units of the cell vectors:
1 Ho 0.8918 0.8918 0.3245  -0.21
2 Ho 0.1082 0.1082 0.6755  -0.21
3 In 0.0000 0.0000 0.0000  0.01
4 Fe 0.5000 0.5000 0.5000  1.40



9.
The following is a PBE-GGA calculation of an optimized crystal structure of Ho2InFe, from the Alexandria database.

Raw total energy = -5.270 eV per atom
Calculated volume = 22.4 Å³/atom
Fermi-level density of states = 2.4 states/eV per cell
Magnetization = 0.00 μB/atom

a b c (Å): 3.3351 3.3351 8.0588
angles (deg): 90.00 90.00 90.00
Sites, in units of the cell vectors:
1 Ho 0.0000 0.0000 0.8007
2 In 0.5000 0.5000 0.5000
3 Ho 0.0000 0.0000 0.1993
4 Fe 0.5000 0.5000 0.0000



10.
The following is a PBE-GGA calculation of an optimized crystal structure of Ho12In3Fe2, from the Alexandria database.

Raw total energy = -4.933 eV per atom
Calculated volume = 26.9 Å³/atom
Fermi-level density of states = 10.9 states/eV per cell
Magnetization = 0.04 μB/atom

a b c (Å): 8.4106 8.4106 8.4106
angles (deg): 110.26 110.26 107.91
Site moments in Bohr magnetons follow the coordinates.
Sites, in units of the cell vectors:
1 In 0.0000 0.5000 0.5000  -0.01
2 Ho 0.3034 0.3034 0.6068  -0.12
3 Ho 0.7898 0.0369 0.2471  -0.06
4 Ho 0.5427 0.7898 0.7529  -0.06
5 Ho 0.4573 0.2102 0.2471  -0.06
6 Fe 0.3898 0.3898 0.0000  0.90
7 In 0.5000 0.0000 0.5000  -0.01
8 Ho 0.9631 0.2102 0.7529  -0.06
9 Ho 0.3034 0.6966 0.0000  -0.12
10 Ho 0.2102 0.4573 0.2471  -0.06
11 Ho 0.6966 0.3034 0.0000  -0.12
12 Ho 0.2102 0.9631 0.7529  -0.06
13 Ho 0.0369 0.7898 0.2471  -0.06
14 Fe 0.6102 0.6102 0.0000  0.90
15 Ho 0.6966 0.6966 0.3932  -0.12
16 In 0.0000 0.0000 0.0000  0.00
17 Ho 0.7898 0.5427 0.7529  -0.06



11.
The following is a PBE-GGA calculation of an optimized crystal structure of Ho2InFe2Rh5, from the Alexandria database.

Raw total energy = -7.001 eV per atom
Calculated volume = 17.1 Å³/atom
Fermi-level density of states = 14.7 states/eV per cell
Magnetization = 0.75 μB/atom

a b c (Å): 3.7297 9.5674 9.5674
angles (deg): 90.00 90.00 90.00
Site moments in Bohr magnetons follow the coordinates.
Sites, in units of the cell vectors:
1 Fe 0.0000 0.8803 0.3803  2.82
2 Rh 0.5000 0.7878 0.9320  0.39
3 Rh 0.5000 0.0680 0.7878  0.39
4 Fe 0.0000 0.3803 0.1197  2.82
5 Fe 0.0000 0.1197 0.6197  2.82
6 Rh 0.5000 0.2122 0.0680  0.39
7 Rh 0.5000 0.4320 0.2878  0.39
8 Rh 0.5000 0.5000 0.0000  0.45
9 Ho 0.0000 0.1775 0.3225  -0.11
10 In 0.0000 0.5000 0.5000  0.01
11 Rh 0.5000 0.7122 0.4320  0.39
12 In 0.0000 0.0000 0.0000  0.01
13 Rh 0.5000 0.0000 0.5000  0.45
14 Rh 0.5000 0.5680 0.7122  0.39
15 Rh 0.5000 0.9320 0.2122  0.39
16 Rh 0.5000 0.2878 0.5680  0.39
17 Ho 0.0000 0.6775 0.1775  -0.11
18 Fe 0.0000 0.6197 0.8803  2.82
19 Ho 0.0000 0.3225 0.8225  -0.11
20 Ho 0.0000 0.8225 0.6775  -0.11



12.
The following is a PBE-GGA calculation of an optimized crystal structure of HoFe4Ir, from the Alexandria database.

Raw total energy = -7.988 eV per atom
Calculated volume = 14.4 Å³/atom
Fermi-level density of states = 5.0 states/eV per cell
Magnetization = 1.75 μB/atom

a b c (Å): 4.9577 4.9577 4.9577
angles (deg): 60.00 60.00 60.00
Site moments in Bohr magnetons follow the coordinates.
Sites, in units of the cell vectors:
1 Ho 0.0000 0.0000 0.0000  -0.27
2 Fe 0.6244 0.1269 0.6244  2.50
3 Fe 0.1269 0.6244 0.6244  2.50
4 Fe 0.6244 0.6244 0.6244  2.50
5 Ir 0.2500 0.2500 0.2500  0.69
6 Fe 0.6244 0.6244 0.1269  2.50



13.
The following is a PBE-GGA calculation of an optimized crystal structure of HoFeIr, from the Alexandria database.

Raw total energy = -7.870 eV per atom
Calculated volume = 17.0 Å³/atom
Fermi-level density of states = 5.6 states/eV per cell
Magnetization = 0.76 μB/atom

a b c (Å): 5.0245 5.2411 5.2411
angles (deg): 63.90 61.36 61.36
Site moments in Bohr magnetons follow the coordinates.
Sites, in units of the cell vectors:
1 Fe 0.5000 0.0000 0.0000  2.34
2 Ir 0.5000 0.0000 0.5000  0.20
3 Ho 0.1220 0.6280 0.6280  -0.27
4 Ir 0.5000 0.5000 0.0000  0.20
5 Ho 0.8780 0.3720 0.3720  -0.27
6 Fe 0.0000 0.0000 0.0000  2.34



14.
The following is a PBE-GGA calculation of an optimized crystal structure of Ho2FeIr, from the Alexandria database.

Raw total energy = -6.978 eV per atom
Calculated volume = 19.6 Å³/atom
Fermi-level density of states = 6.0 states/eV per cell
Magnetization = 0.40 μB/atom

a b c (Å): 3.3312 4.8548 4.8548
angles (deg): 90.00 90.00 90.00
Site moments in Bohr magnetons follow the coordinates.
Sites, in units of the cell vectors:
1 Ir 0.5000 0.5000 0.5000  0.05
2 Ho 0.0000 0.0000 0.5000  -0.24
3 Fe 0.5000 0.0000 0.0000  2.07
4 Ho 0.0000 0.5000 0.0000  -0.24



15.
The following is a PBE-GGA calculation of an optimized crystal structure of HoFeIr, from the Alexandria database.

Raw total energy = -7.786 eV per atom
Calculated volume = 17.2 Å³/atom
Fermi-level density of states = 17.6 states/eV per cell
Magnetization = 0.70 μB/atom

a b c (Å): 5.3840 5.3840 12.7140
angles (deg): 77.78 77.78 60.00
Site moments in Bohr magnetons follow the coordinates.
Sites, in units of the cell vectors:
1 Ho 0.7361 0.7361 0.7918  -0.30
2 Fe 0.0000 0.5000 0.0000  2.23
3 Ho 0.1808 0.1808 0.4577  -0.10
4 Ir 0.2767 0.7792 0.6674  0.11
5 Fe 0.5000 0.5000 0.5000  2.38
6 Ir 0.2767 0.2767 0.6674  0.11
7 Ir 0.2208 0.7233 0.3326  0.11
8 Ho 0.2639 0.2639 0.2082  -0.30
9 Ir 0.7792 0.2767 0.6674  0.11
10 Ir 0.7233 0.7233 0.3326  0.11
11 Ho 0.0421 0.0421 0.8737  -0.40
12 Ho 0.9579 0.9579 0.1263  -0.40
13 Fe 0.5000 0.5000 0.0000  2.23
14 Ho 0.8192 0.8192 0.5423  -0.10
15 Fe 0.5000 0.0000 0.0000  2.23
16 Fe 0.3867 0.3867 0.8400  2.30
17 Fe 0.6133 0.6133 0.1600  2.30
18 Ir 0.7233 0.2208 0.3326  0.11



16.
The following is a PBE-GGA calculation of an optimized crystal structure of HoPaFeIr, from the Alexandria database.

Raw total energy = -8.182 eV per atom
Calculated volume = 19.8 Å³/atom
Fermi-level density of states = 4.3 states/eV per cell
Magnetization = 0.25 μB/atom

a b c (Å): 4.8201 4.8201 4.8201
angles (deg): 60.00 60.00 60.00
Site moments in Bohr magnetons follow the coordinates.
Sites, in units of the cell vectors:
1 Ir 0.5000 0.5000 0.5000  0.12
2 Ho 0.2500 0.2500 0.2500  -0.18
3 Pa 0.7500 0.7500 0.7500  -0.39
4 Fe 0.0000 0.0000 0.0000  1.50



17.
The following is a PBE-GGA calculation of an optimized crystal structure of HoFeSi2Ir, from the Alexandria database.

Raw total energy = -7.445 eV per atom
Calculated volume = 15.8 Å³/atom
Fermi-level density of states = 2.6 states/eV per cell
Magnetization = 0.00 μB/atom

a b c (Å): 4.0285 4.0285 5.6320
angles (deg): 110.96 110.96 90.00
Sites, in units of the cell vectors:
1 Ho 0.0000 0.0000 0.0000
2 Ir 0.2500 0.7500 0.5000
3 Si 0.3733 0.3733 0.7467
4 Fe 0.7500 0.2500 0.5000
5 Si 0.6267 0.6267 0.2533



18.
The following is a PBE-GGA calculation of an optimized crystal structure of HoFeSi3Ir, from the Alexandria database.

Raw total energy = -6.802 eV per atom
Calculated volume = 17.8 Å³/atom
Fermi-level density of states = 7.6 states/eV per cell
Magnetization = 0.00 μB/atom

a b c (Å): 5.6103 6.0951 6.9403
angles (deg): 116.05 90.00 90.00
Sites, in units of the cell vectors:
1 Si 0.5000 0.7117 0.0000
2 Si 0.0000 0.2883 0.0000
3 Ho 0.2500 0.8011 0.6022
4 Fe 0.7500 0.9685 0.9369
5 Si 0.2500 0.2007 0.4013
6 Ir 0.2500 0.3808 0.7616
7 Ho 0.7500 0.1989 0.3978
8 Si 0.5000 0.2883 0.0000
9 Fe 0.2500 0.0315 0.0631
10 Si 0.7500 0.7993 0.5987
11 Ir 0.7500 0.6192 0.2384
12 Si 0.0000 0.7117 0.0000



19.
The following is a PBE-GGA calculation of an optimized crystal structure of Ho2FeSi4Ir3, from the Alexandria database.

Raw total energy = -7.524 eV per atom
Calculated volume = 16.4 Å³/atom
Fermi-level density of states = 5.9 states/eV per cell
Magnetization = 0.00 μB/atom

a b c (Å): 4.1025 4.1025 9.7451
angles (deg): 90.00 90.00 90.00
Sites, in units of the cell vectors:
1 Ho 0.5000 0.0000 0.2534
2 Si 0.5000 0.0000 0.6230
3 Fe 0.5000 0.5000 0.5000
4 Ho 0.0000 0.5000 0.7466
5 Ir 0.5000 0.0000 0.8693
6 Ir 0.0000 0.0000 0.5000
7 Si 0.0000 0.5000 0.3770
8 Ir 0.0000 0.5000 0.1307
9 Si 0.5000 0.5000 0.0000
10 Si 0.0000 0.0000 0.0000



20.
The following is a PBE-GGA calculation of an optimized crystal structure of Ho2FeSi3Ir4, from the Alexandria database.

Raw total energy = -7.856 eV per atom
Calculated volume = 16.7 Å³/atom
Fermi-level density of states = 5.5 states/eV per cell
Magnetization = 0.21 μB/atom

a b c (Å): 4.0928 4.0928 9.9902
angles (deg): 90.00 90.00 90.00
Site moments in Bohr magnetons follow the coordinates.
Sites, in units of the cell vectors:
1 Ir 0.5000 0.0000 0.6340  0.03
2 Ir 0.5000 0.5000 0.0000  -0.01
3 Fe 0.5000 0.5000 0.5000  2.31
4 Ho 0.0000 0.5000 0.7469  -0.06
5 Ir 0.0000 0.0000 0.0000  -0.02
6 Si 0.0000 0.0000 0.5000  -0.01
7 Ir 0.0000 0.5000 0.3660  0.03
8 Si 0.5000 0.0000 0.8699  -0.01
9 Si 0.0000 0.5000 0.1301  -0.01
10 Ho 0.5000 0.0000 0.2531  -0.06